[1]
Ba2Bi2Pb: relaxed, GGA-PBE.

The volume comes out at 230 Å³ per cell. Its energy above the most stable polymorph in this dataset is 0.309 eV per atom. The density of states at the Fermi level is 5.061 states/eV/cell. The raw total energy is -3.46 eV per atom. The calculation puts the formation energy from the elements at -0.399 eV per atom. For the theoretical density, the calculation gives 6.50 g cm⁻³.

Unit cell a=6.999 b=6.999 c=6.822 alpha=59.14 beta=59.14 gamma=90.00
Sites, in units of the cell vectors:
Pb1 0.000 0.000 0.000
Bi1 0.329 0.329 0.341
Bi2 0.671 0.671 0.659
Ba1 0.750 0.250 0.500
Ba2 0.250 0.750 0.500

***

[2]
Pr2Ga12Co: relaxed, GGA-PBE.

The volume comes out at 574 Å³ per cell. The density of states at the Fermi level is 8.054 states/eV/cell. The raw total energy is -3.92 eV per atom. The calculation puts the formation energy from the elements at -0.389 eV per atom. For the theoretical density, the calculation gives 6.82 g cm⁻³.

Unit cell a=6.057 b=6.057 c=15.636 alpha=90.00 beta=90.00 gamma=90.00
Sites, in units of the cell vectors:
Pr1 0.500 0.000 0.239
Pr2 0.000 0.500 0.239
Pr3 0.000 0.500 0.761
Pr4 0.500 0.000 0.761
Ga1 0.500 0.500 0.815
Ga2 0.000 0.000 0.815
Ga3 0.750 0.750 0.918
Ga4 0.250 0.750 0.918
Ga5 0.000 0.000 0.344
Ga6 0.250 0.750 0.082
Ga7 0.831 0.331 0.569
Ga8 0.500 0.500 0.344
Ga9 0.250 0.250 0.918
Ga10 0.750 0.750 0.082
Ga11 0.331 0.169 0.569
Ga12 0.669 0.169 0.431
Ga13 0.000 0.000 0.656
Ga14 0.169 0.331 0.431
Ga15 0.250 0.250 0.082
Ga16 0.831 0.669 0.431
Ga17 0.669 0.831 0.569
Ga18 0.000 0.000 0.185
Ga19 0.169 0.669 0.569
Ga20 0.500 0.500 0.656
Ga21 0.750 0.250 0.918
Ga22 0.500 0.500 0.185
Ga23 0.331 0.831 0.431
Ga24 0.750 0.250 0.082
Co1 0.500 0.000 0.000
Co2 0.000 0.500 0.000